# 1
Sm8Dy3Er2: relaxed, PBE-GGA.

Structure (POSCAR):
```
Sm8Dy3Er2
1.0
5.637 0.000 0.799
0.000 7.701 0.000
-1.417 -3.851 9.990
Sm Dy Er
8 3 2
Direct
0.000 0.672 0.344
0.000 0.328 0.656
0.000 0.132 0.265
0.000 0.868 0.735
0.500 0.600 0.786
0.500 0.186 0.786
0.500 0.814 0.214
0.500 0.400 0.214
0.500 0.000 0.000
0.000 0.286 0.000
0.000 0.714 0.000
0.500 0.240 0.481
0.500 0.760 0.519
```

Summary:
Crystal system: orthorhombic
Electronic total energy in Ry per atom: -0.327
Calculated volume in Å³/f.u.: 442.4
Space-group type: Cmmm

---

# 2
AcTb3Pm2: relaxed, PBE-GGA.

Structure (POSCAR):
```
AcTb3Pm2
1.0
-0.126 4.463 -5.490
4.083 -5.776 -0.228
-7.460 -5.116 -3.988
Ac Tb Pm
2 6 4
Direct
0.333 0.667 0.946
0.667 0.333 0.054
0.183 0.366 0.274
0.634 0.817 0.274
0.183 0.817 0.274
0.817 0.634 0.726
0.817 0.183 0.726
0.366 0.183 0.726
0.000 0.000 0.000
0.667 0.333 0.414
0.000 0.000 0.500
0.333 0.667 0.586
```

Summary:
Crystal system: trigonal
Electronic total energy in Ry per atom: -0.318
Calculated volume in Å³/f.u.: 214.4
Space-group type: P-3m1

---

# 3
CuHF4: relaxed, PBE-GGA.

Structure (POSCAR):
```
CuHF4
1.0
5.144 0.086 0.290
0.765 4.249 1.826
0.089 -0.384 6.873
Cu H F
2 2 8
Direct
0.750 0.057 0.386
0.250 0.943 0.614
0.250 0.341 0.818
0.750 0.659 0.182
0.341 0.093 0.823
0.159 0.584 0.823
0.390 0.270 0.402
0.610 0.730 0.598
0.890 0.172 0.598
0.841 0.416 0.177
0.110 0.828 0.402
0.659 0.907 0.177
```

Summary:
Crystal system: monoclinic
Electronic total energy in Ry per atom: -0.286
Calculated volume in Å³/f.u.: 76.6
Space-group type: C2/c

---

# 4
SrTaSi2: relaxed, PBE-GGA.

Structure (POSCAR):
```
SrTaSi2
1.0
-3.050 2.386 -3.547
-3.997 -2.703 2.073
-0.954 2.089 1.731
Si Sr Ta
2 1 1
Direct
0.000 0.000 0.000
0.500 0.500 0.000
0.500 0.000 0.500
0.000 0.500 0.500
```

Summary:
Crystal system: monoclinic
Calculated volume in Å³/f.u.: 78.0
Space-group type: C2/m
Formation energy from raw total energies in eV/atom: 0.30

---

# 5
NiHgSb2: relaxed, PBE-GGA.

Structure (POSCAR):
```
NiHgSb2
1.0
-1.637 -3.480 -1.121
2.228 -2.748 -1.878
1.991 -4.969 5.363
Ni Hg Sb
1 1 2
Direct
0.667 0.667 0.999
0.499 0.499 0.504
0.053 0.053 0.840
0.281 0.281 0.157
```

Summary:
Crystal system: trigonal
Calculated volume in Å³/f.u.: 100.3
Space-group type: R3m
Formation energy from raw total energies in eV/atom: -0.06

---

# 6
KNb2SbAu: relaxed, PBE-GGA.

Structure (POSCAR):
```
KNb2SbAu
1.0
5.222 0.000 0.000
0.000 5.610 0.000
0.000 0.000 5.222
Sb Nb Au K
1 2 1 1
Direct
0.000 0.500 0.000
0.000 0.000 0.500
0.500 0.000 0.000
0.000 0.000 0.000
0.500 0.500 0.500
```

Summary:
Crystal system: tetragonal
Calculated volume in Å³/f.u.: 153.0
Space-group type: P4/mmm
Formation energy from raw total energies in eV/atom: 1.23

---

# 7
NaIn3N: relaxed, PBE-GGA.

Structure (POSCAR):
```
NaIn3N
1.0
-4.617 0.014 1.644
-1.298 -3.037 -3.621
1.008 -3.847 2.865
Na N In
1 1 3
Direct
0.500 0.500 0.500
0.000 0.000 0.000
0.000 0.500 0.000
0.000 0.000 0.500
0.500 0.000 0.000
```

Summary:
Crystal system: cubic
Calculated volume in Å³/f.u.: 117.7
Space-group type: Pm-3m
Formation energy from raw total energies in eV/atom: 0.44

---

# 8
PmTm4Sc5: relaxed, PBE-GGA.

Structure (POSCAR):
```
PmTm4Sc5
1.0
6.034 0.000 0.000
3.017 6.849 0.000
3.017 0.000 6.849
Pm Tm Sc
1 4 5
Direct
0.231 0.000 0.000
0.403 0.396 0.706
0.798 0.706 0.604
0.108 0.294 0.396
0.504 0.604 0.294
0.803 0.372 0.912
0.175 0.912 0.628
0.715 0.088 0.372
0.087 0.628 0.088
0.688 0.000 0.000
```

Summary:
Crystal system: tetragonal
Electronic total energy in Ry per atom: -0.377
Calculated volume in Å³/f.u.: 283.1
Space-group type: I4

---

# 9
SrCa3Te4: relaxed, PBE-GGA.

Structure (POSCAR):
```
SrCa3Te4
1.0
4.582 -0.057 0.078
0.058 7.619 2.224
-0.129 0.442 7.924
Sr Ca Te
1 3 4
Direct
0.500 0.500 0.000
0.500 0.000 0.500
0.000 0.000 0.000
0.000 0.500 0.500
0.000 0.759 0.741
0.500 0.754 0.254
0.000 0.241 0.259
0.500 0.246 0.746
```

Summary:
Crystal system: orthorhombic
Calculated volume in Å³/f.u.: 272.3
Space-group type: Cmmm
Formation energy from raw total energies in eV/atom: -1.67

---

# 10
LaSnRh2: relaxed, PBE-GGA.

Structure (POSCAR):
```
LaSnRh2
1.0
-2.762 -5.747 -3.665
4.152 -3.875 2.946
-5.608 -1.275 6.226
La Sn Rh
4 4 8
Direct
0.000 0.250 0.696
0.500 0.750 0.216
0.000 0.750 0.304
0.500 0.250 0.784
0.500 0.750 0.730
0.500 0.250 0.270
0.000 0.250 0.259
0.000 0.750 0.741
0.000 0.000 0.000
0.500 0.500 0.500
0.292 0.750 0.975
0.708 0.250 0.025
0.708 0.750 0.975
0.292 0.250 0.025
0.000 0.500 0.000
0.500 0.000 0.500
```

Summary:
Crystal system: orthorhombic
Electronic total energy in Ry per atom: -0.449
Calculated volume in Å³/f.u.: 99.7
Space-group type: Pmma

---

# 11
Na2CeF6: relaxed, PBE-GGA.

Structure (POSCAR):
```
Na2CeF6
1.0
-0.314 -4.448 4.883
5.167 1.580 1.771
-3.058 7.492 2.238
Na Ce F
4 2 12
Direct
0.896 0.404 0.788
0.604 0.904 0.712
0.396 0.096 0.288
0.104 0.596 0.212
0.500 0.500 0.000
0.000 0.000 0.500
0.833 0.777 0.280
0.876 0.738 0.634
0.786 0.663 0.958
0.714 0.163 0.542
0.624 0.238 0.866
0.667 0.277 0.220
0.167 0.223 0.720
0.124 0.262 0.366
0.214 0.337 0.042
0.286 0.837 0.458
0.376 0.762 0.134
0.333 0.723 0.780
```

Summary:
Crystal system: monoclinic
Calculated volume in Å³/f.u.: 145.6
Space-group type: P2_1/c
Formation energy from raw total energies in eV/atom: -3.29

---

# 12
UAl5Cu6: relaxed, PBE-GGA.

Structure (POSCAR):
```
UAl5Cu6
1.0
0.000 7.098 7.502
3.297 0.000 7.502
3.297 7.098 0.000
U Al Cu
2 10 12
Direct
0.000 0.000 0.000
0.250 0.250 0.250
0.500 0.500 0.500
0.750 0.750 0.750
0.072 0.754 0.338
0.338 0.836 0.072
0.754 0.072 0.836
0.836 0.338 0.754
0.178 0.496 0.912
0.912 0.414 0.178
0.496 0.178 0.414
0.414 0.912 0.496
0.125 0.625 0.625
0.625 0.625 0.125
0.625 0.125 0.625
0.625 0.625 0.625
0.435 0.492 0.890
0.890 0.183 0.435
0.492 0.435 0.183
0.183 0.890 0.492
0.815 0.758 0.360
0.360 0.067 0.815
0.758 0.815 0.067
0.067 0.360 0.758
```

Summary:
Crystal system: orthorhombic
Electronic total energy in Ry per atom: -0.352
Calculated volume in Å³/f.u.: 175.6
Space-group type: Fddd

---

Copy entry 5 word for word.
NiHgSb2: relaxed, PBE-GGA.

Structure (POSCAR):
```
NiHgSb2
1.0
-1.637 -3.480 -1.121
2.228 -2.748 -1.878
1.991 -4.969 5.363
Ni Hg Sb
1 1 2
Direct
0.667 0.667 0.999
0.499 0.499 0.504
0.053 0.053 0.840
0.281 0.281 0.157
```

Summary:
Crystal system: trigonal
Calculated volume in Å³/f.u.: 100.3
Space-group type: R3m
Formation energy from raw total energies in eV/atom: -0.06